Below is a geometry-optimized CdFeBO4 structure, with properties calculated at the PBE with a Hubbard U level.

Cell and atoms, written as CIF:
```
data_CdFeBO4
_cell_length_a 5.918
_cell_length_b 8.707
_cell_length_c 5.982
_cell_angle_alpha 90.00
_cell_angle_beta 90.00
_cell_angle_gamma 90.00
_space_group_name_H-M_alt 'C m c m'
_space_group_IT_number 63
_space_group_name_Hall '-C 2c 2'
loop_
_atom_site_label
_atom_site_type_symbol
_atom_site_fract_x
_atom_site_fract_y
_atom_site_fract_z
_atom_site_occupancy
Cd1 Cd 0.000 0.000 0.000 1
Fe1 Fe 0.000 0.353 0.250 1
B1 B 0.000 0.355 0.750 1
O1 O 0.000 0.264 0.544 1
O2 O 0.200 0.470 0.750 1
```

Output
Total DFT energy (no corrections) = -6.301 eV per atom
Fermi-level density of states = 0.00 states/eV per cell